[1]
Compound: Sm3Dy4Sc3
Source: the Alexandria database
Functional: GGA-PBE
Structure: relaxed

Geometry as CIF:
```
data_Sm3Dy4Sc3
_symmetry_space_group_name_H-M 'P 1'
_symmetry_Int_Tables_number 1
_cell_length_a 3.637
_cell_length_b 9.144
_cell_length_c 9.144
_cell_angle_alpha 90.59
_cell_angle_beta 90.00
_cell_angle_gamma 90.00
loop_
_symmetry_equiv_pos_as_xyz
'x,y,z'
loop_
_atom_site_label
_atom_site_fract_x
_atom_site_fract_y
_atom_site_fract_z
Sm1 0.000 0.504 0.003
Sm2 0.000 0.997 0.496
Sm3 0.500 0.170 0.830
Dy1 0.000 0.630 0.370
Dy2 0.000 0.379 0.621
Dy3 0.000 0.863 0.877
Dy4 0.000 0.123 0.137
Sc1 0.500 0.829 0.171
Sc2 0.500 0.333 0.329
Sc3 0.500 0.671 0.667
```

***

[2]
Compound: Sm2DySc3
Source: the Alexandria database
Functional: GGA-PBE
Structure: relaxed

Geometry as CIF:
```
data_Sm2DySc3
_symmetry_space_group_name_H-M 'P 1'
_symmetry_Int_Tables_number 1
_cell_length_a 5.331
_cell_length_b 8.432
_cell_length_c 9.806
_cell_angle_alpha 121.11
_cell_angle_beta 90.00
_cell_angle_gamma 108.43
loop_
_symmetry_equiv_pos_as_xyz
'x,y,z'
loop_
_atom_site_label
_atom_site_fract_x
_atom_site_fract_y
_atom_site_fract_z
Sm1 0.530 0.060 0.844
Sm2 0.470 0.940 0.156
Sm3 0.801 0.601 0.154
Sm4 0.199 0.399 0.846
Dy1 0.866 0.731 0.846
Dy2 0.134 0.269 0.154
Sc1 0.280 0.560 0.595
Sc2 0.950 0.901 0.599
Sc3 0.616 0.233 0.597
Sc4 0.384 0.767 0.403
Sc5 0.050 0.099 0.401
Sc6 0.720 0.440 0.405
```

***

[3]
Compound: Sm3DySc3
Source: the Alexandria database
Functional: GGA-PBE
Structure: relaxed

Geometry as CIF:
```
data_Sm3DySc3
_symmetry_space_group_name_H-M 'P 1'
_symmetry_Int_Tables_number 1
_cell_length_a 8.407
_cell_length_b 8.407
_cell_length_c 8.479
_cell_angle_alpha 60.28
_cell_angle_beta 60.28
_cell_angle_gamma 60.00
loop_
_symmetry_equiv_pos_as_xyz
'x,y,z'
loop_
_atom_site_label
_atom_site_fract_x
_atom_site_fract_y
_atom_site_fract_z
Sm1 0.173 0.700 0.187
Sm2 0.941 0.173 0.187
Sm3 0.700 0.941 0.187
Sm4 0.300 0.059 0.813
Sm5 0.059 0.827 0.813
Sm6 0.827 0.300 0.813
Dy1 0.355 0.355 0.935
Dy2 0.645 0.645 0.065
Sc1 0.580 0.729 0.636
Sc2 0.729 0.056 0.636
Sc3 0.056 0.580 0.636
Sc4 0.944 0.420 0.364
Sc5 0.271 0.944 0.364
Sc6 0.420 0.271 0.364
```

***

Magnetization (computed, μB/f.u.): 0.00 0.00 0.00
D(E_F) (computed, states/eV per cell): 10.24 22.33 23.42
Calculated total energy (computed, eV for the cell shown): -50.63 -65.10 -71.16